Ca6TlSn3: optimized geometry, PBE.

Lattice parameters (Å, degrees): 5.296 9.350 12.917 90.00 90.01 90.00
Fractional coordinates of all 20 atoms:
Ca 0.500 0.485 0.248
Ca 0.500 0.515 0.752
Ca 0.000 0.337 0.085
Ca 0.500 0.183 0.907
Ca 0.500 0.163 0.585
Ca 0.000 0.015 0.748
Ca 0.000 0.663 0.915
Ca 0.000 0.317 0.407
Ca 0.000 0.985 0.252
Ca 0.500 0.817 0.093
Ca 0.500 0.837 0.415
Ca 0.000 0.683 0.593
Tl 0.000 0.000 0.000
Tl 0.500 0.500 0.500
Sn 0.500 0.849 0.815
Sn 0.500 0.500 0.000
Sn 0.000 0.349 0.685
Sn 0.500 0.151 0.185
Sn 0.000 0.000 0.500
Sn 0.000 0.651 0.315

Calculated values
E_form = -0.5066 eV/atom
total magnetic moment = 0.000 μB/atom